Entry A
DyHoMgCo (GGA-PBE, relaxed); total moment = 1.36 μB/cell
1.0
7.081 0.000 0.000
0.000 7.081 0.000
0.000 0.000 7.081
Dy Ho Mg Co
4 4 4 4
direct
0.000 0.000 0.000
0.000 0.500 0.500
0.500 0.000 0.500
0.500 0.500 0.000
0.000 0.000 0.500
0.000 0.500 0.000
0.500 0.000 0.000
0.500 0.500 0.500
0.250 0.250 0.750
0.250 0.750 0.250
0.750 0.250 0.250
0.750 0.750 0.750
0.250 0.250 0.250
0.250 0.750 0.750
0.750 0.250 0.750
0.750 0.750 0.250

***

Entry B
DyHoMgCo (GGA-PBE, relaxed); total moment = 0.78 μB/cell
1.0
3.391 0.000 0.000
0.000 3.391 0.000
0.000 0.000 8.053
Dy Ho Mg Co
1 1 1 1
direct
0.000 0.000 0.000
0.000 0.000 0.599
0.500 0.500 0.301
0.500 0.500 0.798

***

Best to worst by energy: entry B, entry A.